La4Cu4Se3SO4 | PBE-GGA | optimized geometry

Unit cell a=5.7351 b=5.7351 c=8.7480 alpha=90.00 beta=90.00 gamma=90.00
Sites, in units of the cell vectors:
Se1 0.5000 0.5000 0.6619
La1 0.5000 0.0000 0.8539
Se2 0.5000 0.0000 0.3312
Cu1 0.2371 0.2371 0.5056
Se3 0.0000 0.5000 0.3312
Cu2 0.7629 0.2371 0.5056
O1 0.2498 0.2498 0.9958
La2 0.0000 0.5000 0.8539
La3 0.5000 0.5000 0.1383
O2 0.7502 0.2498 0.9958
S1 0.0000 0.0000 0.6667
O3 0.7502 0.7502 0.9958
O4 0.2498 0.7502 0.9958
La4 0.0000 0.0000 0.1374
Cu3 0.2371 0.7629 0.5056
Cu4 0.7629 0.7629 0.5056

Output
Density ... 6.595 g cm⁻³
VASP energy ... -6.442 eV/atom
DOS at the Fermi energy ... 0.0000 states/eV per atom
Magnetization ... 0.000 μB per cell
Symmetry ... P4mm (99)

---

La4Cu4SeS3O4 | PBE-GGA | optimized geometry

Unit cell a=5.6755 b=5.6755 c=8.6032 alpha=90.00 beta=90.00 gamma=90.00
Sites, in units of the cell vectors:
O1 0.7500 0.2500 0.9963
S1 0.5000 0.0000 0.6602
O2 0.7500 0.7500 0.9963
Se1 0.5000 0.5000 0.3367
Cu1 0.7602 0.7602 0.5060
Cu2 0.2398 0.2398 0.5060
O3 0.2500 0.7500 0.9963
La1 0.5000 0.5000 0.8494
La2 0.0000 0.0000 0.8510
La3 0.5000 0.0000 0.1426
Cu3 0.2398 0.7602 0.5060
S2 0.0000 0.0000 0.3354
Cu4 0.7602 0.2398 0.5060
La4 0.0000 0.5000 0.1426
O4 0.2500 0.2500 0.9963
S3 0.0000 0.5000 0.6602

Output
Density ... 6.285 g cm⁻³
VASP energy ... -6.538 eV/atom
DOS at the Fermi energy ... 0.0000 states/eV per atom
Magnetization ... 0.000 μB per cell
Symmetry ... P4mm (99)

---

LaCuSb2O8 | PBE-GGA | optimized geometry

Unit cell a=5.1455 b=5.1359 c=6.3137 alpha=90.00 beta=90.00 gamma=82.63
Sites, in units of the cell vectors:
O1 0.6744 0.6782 0.0000
Sb1 0.5000 0.5000 0.2349
Cu1 0.0000 0.0000 0.0000
O2 0.2005 0.7958 0.2153
O3 0.2005 0.7958 0.7847
O4 0.3383 0.3353 0.5000
O5 0.6617 0.6647 0.5000
O6 0.3256 0.3218 0.0000
O7 0.7995 0.2042 0.2153
O8 0.7995 0.2042 0.7847
Sb2 0.5000 0.5000 0.7651
La1 0.0000 0.0000 0.5000

Output
Density ... 5.760 g cm⁻³
VASP energy ... -6.257 eV/atom
DOS at the Fermi energy ... 0.4094 states/eV per atom
Magnetization ... 0.000 μB per cell
Symmetry ... P2/m (10)

---

SrLaCuSbO6 | PBE-GGA | optimized geometry

Unit cell a=5.5626 b=5.5123 c=10.2962 alpha=58.42 beta=90.00 gamma=90.00
Last column: magnetic moment on the atom in μB.
Sites, in units of the cell vectors:
Sr1 0.7817 0.7691 0.7475  0.00
O1 0.9639 0.8375 0.4515  0.07
Sr2 0.2183 0.7691 0.2475  0.00
O2 0.2759 0.3545 0.2216  0.03
La1 0.7133 0.2230 0.2538  0.00
Sb1 0.7497 0.4990 0.5005  0.02
O3 0.7657 0.6232 0.2809  0.02
O4 0.0375 0.2341 0.5549  0.08
O5 0.9625 0.2341 0.0549  0.08
Cu1 0.7519 0.0045 0.9978  0.59
O6 0.2343 0.6232 0.7809  0.02
O7 0.5230 0.1737 0.5472  0.08
O8 0.5260 0.7814 0.9443  0.08
O9 0.4770 0.1737 0.0472  0.08
O10 0.0361 0.8375 0.9515  0.07
La2 0.2867 0.2230 0.7538  0.00
Cu2 0.2481 0.0045 0.4978  0.59
O11 0.7241 0.3545 0.7216  0.03
O12 0.4740 0.7814 0.4443  0.08
Sb2 0.2503 0.4990 0.0005  0.02

Output
Density ... 6.271 g cm⁻³
VASP energy ... -6.566 eV/atom
DOS at the Fermi energy ... 0.0149 states/eV per atom
Magnetization ... 2.010 μB per cell
Symmetry ... Pc (7)

---

LaSc2CuO | PBE-GGA | optimized geometry

Unit cell a=4.3964 b=4.3964 c=4.9898 alpha=90.00 beta=90.00 gamma=90.00
Sites, in units of the cell vectors:
Sc1 0.0000 0.5000 0.0000
Sc2 0.5000 0.0000 0.0000
La1 0.0000 0.0000 0.5000
Cu1 0.5000 0.5000 0.5000
O1 0.0000 0.0000 0.0000

Output
Density ... 5.309 g cm⁻³
VASP energy ... -6.461 eV/atom
DOS at the Fermi energy ... 1.1879 states/eV per atom
Magnetization ... 0.000 μB per cell
Symmetry ... P4/mmm (123)

---

La4Cu3SeO12 | PBE-GGA | optimized geometry

Unit cell a=6.7870 b=6.7870 c=6.7870 alpha=109.47 beta=109.47 gamma=109.47
Sites, in units of the cell vectors:
Se1 0.0000 0.0000 0.0000
O1 0.7669 0.7669 0.0000
La1 0.5000 0.5000 0.5000
O2 0.5000 0.7500 0.2500
O3 0.7500 0.5000 0.2500
O4 0.2500 0.5000 0.7500
O5 0.2331 0.0000 0.2331
Cu1 0.5000 0.5000 0.0000
La2 0.0000 0.5000 0.0000
O6 0.7500 0.2500 0.5000
O7 0.7669 0.0000 0.7669
La3 0.5000 0.0000 0.0000
O8 0.5000 0.2500 0.7500
O9 0.0000 0.7669 0.7669
O10 0.2500 0.7500 0.5000
Cu2 0.5000 0.0000 0.5000
La4 0.0000 0.0000 0.5000
O11 0.2331 0.2331 0.0000
Cu3 0.0000 0.5000 0.5000
O12 0.0000 0.2331 0.2331

Output
Density ... 7.019 g cm⁻³
VASP energy ... -6.732 eV/atom
DOS at the Fermi energy ... 0.2510 states/eV per atom
Magnetization ... 0.000 μB per cell
Symmetry ... Im-3m (229)

---

La2CuSnO6 | PBE-GGA | optimized geometry

Unit cell a=7.8485 b=7.8591 c=8.7057 alpha=88.11 beta=90.00 gamma=90.00
Last column: magnetic moment on the atom in μB.
Sites, in units of the cell vectors:
Sn1 0.5000 0.0000 0.5000  0.00
La1 0.7500 0.7966 0.2455  0.00
O1 0.5416 0.2477 0.5815  0.00
Sn2 0.5000 0.5000 0.5000  0.00
O2 0.7500 0.4689 0.0074  0.02
O3 0.2500 0.9642 0.0312  0.02
Sn3 0.0000 0.0000 0.5000  0.00
La2 0.2500 0.7156 0.7730  0.00
O4 0.2500 0.0794 0.4546  0.00
La3 0.7500 0.7708 0.8064  0.00
O5 0.2500 0.4775 0.5883  0.00
O6 0.4460 0.4383 0.2763  0.00
O7 0.9428 0.0559 0.2727  0.00
O8 0.9460 0.5617 0.7237  0.00
O9 0.0364 0.2487 0.9604  0.02
O10 0.5572 0.0559 0.2727  0.00
O11 0.0540 0.4383 0.2763  0.00
O12 0.7500 0.5225 0.4117  0.00
O13 0.5364 0.7513 0.0396  0.02
La4 0.2500 0.2292 0.1936  0.00
La5 0.7500 0.2854 0.7894  0.00
O14 0.9636 0.7513 0.0396  0.02
O15 0.4636 0.2487 0.9604  0.02
O16 0.2500 0.5311 0.9926  0.02
Cu1 0.5000 0.0000 0.0000  0.09
Cu2 0.0000 0.5000 0.0000  0.10
Cu3 0.5000 0.5000 0.0000  0.10
La6 0.7500 0.2844 0.2270  0.00
La7 0.2500 0.2034 0.7545  0.00
O17 0.4428 0.9441 0.7273  0.00
O18 0.5540 0.5617 0.7237  0.00
Sn4 0.0000 0.5000 0.5000  0.00
O19 0.0416 0.7523 0.4185  0.00
O20 0.0572 0.9441 0.7273  0.00
La8 0.2500 0.7146 0.2106  0.00
Cu4 0.0000 0.0000 0.0000  0.09
O21 0.4584 0.7523 0.4185  0.00
O22 0.9584 0.2477 0.5815  0.00
O23 0.7500 0.0358 0.9688  0.02
O24 0.7500 0.9206 0.5454  0.00

Output
Density ... 6.882 g cm⁻³
VASP energy ... -7.126 eV/atom
DOS at the Fermi energy ... 0.1707 states/eV per atom
Magnetization ... 0.604 μB per cell
Symmetry ... P2_1/m (11)

---

Sr2LaCuO4 | PBE-GGA | optimized geometry

Unit cell a=3.6365 b=6.0795 c=6.2690 alpha=110.51 beta=90.00 gamma=90.00
Last column: magnetic moment on the atom in μB.
Sites, in units of the cell vectors:
Cu1 0.0000 0.0000 0.0000  0.06
O1 0.5000 0.2571 0.2415  0.01
Sr1 0.5000 0.0000 0.5000  0.00
O2 0.0000 0.7312 0.2471  0.00
Sr2 0.0000 0.5000 0.5000  0.00
O3 0.5000 0.7429 0.7585  0.01
La1 0.5000 0.5000 0.0000  0.00
O4 0.0000 0.2688 0.7529  0.00

Output
Density ... 5.650 g cm⁻³
VASP energy ... -6.306 eV/atom
Magnetization ... 0.076 μB per cell
Symmetry ... P2/m (10)

---

> What is the magnetization in the seventh record?

0.604 μB per cell

---

> The lowest VASP energy belongs to which entry?

La2CuSnO6